VASP calculation (PBE-GGA) on Ba2Li3CaBi4 after structural relaxation.

Results
Energy relative to the elements (eV/atom): -0.77
DOS(E_F) (states/eV per cell): 0.90

Unit cell a=4.995 b=4.995 c=12.554 alpha=90.00 beta=90.00 gamma=90.00
Positions (direct):
Ba 0.500 0.000 0.232
Ba 0.000 0.500 0.768
Li 0.000 0.000 0.500
Li 0.500 0.000 0.874
Li 0.000 0.500 0.126
Ca 0.500 0.500 0.500
Bi 0.500 0.500 0.000
Bi 0.000 0.000 0.000
Bi 0.500 0.000 0.651
Bi 0.000 0.500 0.349